[1]
First-principles (PBE) data for an optimized crystal structure of KSrNi2, as listed in Alexandria.

Cell: 5.0158 5.0158 5.0158 Å, 60.00 60.00 60.00°
With the nearest neighbours (Å) after each atom.
Element x y z (fractional)
1 K 0.5000 0.5000 0.5000  4 Ni 3.07, 4 Sr 3.07
2 Ni 0.0000 0.0000 0.0000  4 Sr 3.07, 4 Ni 3.07
3 Ni 0.2500 0.2500 0.2500  4 K 3.07, 4 Ni 3.07
4 Sr 0.7500 0.7500 0.7500  4 K 3.07, 4 Ni 3.07

Calculated values
DOS(E_F): 7.94 states/eV per cell
theoretical density: 4.543 Mg/m³
ΔH_f (0 K): 677 meV/atom


[2]
First-principles (PBE) data for an optimized crystal structure of ZrNpTaRu, as listed in Alexandria.

Cell: 4.7180 4.7180 4.7180 Å, 60.00 60.00 60.00°
With the nearest neighbours (Å) after each atom.
Element x y z (fractional)
1 Np 0.5000 0.5000 0.5000  4 Zr 2.89, 4 Ta 2.89
2 Ru 0.0000 0.0000 0.0000  4 Zr 2.89, 4 Ta 2.89
3 Zr 0.7500 0.7500 0.7500  4 Np 2.89, 4 Ru 2.89
4 Ta 0.2500 0.2500 0.2500  4 Ru 2.89, 4 Np 2.89

Calculated values
DOS(E_F): 11.30 states/eV per cell
theoretical density: 13.646 Mg/m³
ΔH_f (0 K): 235 meV/atom


[3]
First-principles (PBE) data for an optimized crystal structure of Sr8Bi5Cl, as listed in Alexandria.

Cell: 8.8216 8.8216 8.8216 Å, 110.02 108.37 110.02°
With the nearest neighbours (Å) after each atom.
Element x y z (fractional)
1 Sr 0.1370 0.7523 0.0205  1 Cl 3.32, 4 Bi 3.36-3.68
2 Sr 0.9795 0.1165 0.7318  1 Cl 3.32, 4 Bi 3.36-3.68
3 Sr 0.7410 0.2373 0.3489  5 Bi 3.33-3.66
4 Sr 0.6511 0.3921 0.8885  5 Bi 3.33-3.66
5 Sr 0.4963 0.6079 0.2590  5 Bi 3.33-3.66
6 Sr 0.6153 0.8835 0.8630  1 Cl 3.32, 4 Bi 3.36-3.68
7 Sr 0.2682 0.2477 0.3847  1 Cl 3.32, 4 Bi 3.36-3.68
8 Sr 0.1115 0.7627 0.5037  5 Bi 3.33-3.66
9 Bi 0.0161 0.3798 0.1357  7 Sr 3.33-3.68
10 Bi 0.8643 0.8804 0.2441  7 Sr 3.33-3.68
11 Bi 0.7559 0.6202 0.6363  7 Sr 3.33-3.68
12 Bi 0.5000 0.0000 0.5000  8 Sr 3.37-3.64
13 Bi 0.3637 0.1196 0.9839  7 Sr 3.33-3.68
14 Cl 0.2500 0.5000 0.7500  4 Sr 3.32

Calculated values
DOS(E_F): 0.04 states/eV per cell
theoretical density: 5.599 Mg/m³
raw formation energy: -15.00 eV/f.u.